No. 1
Density functional theory data (GGA-PBE) for a geometry-optimized LaWS2N structure.

The structure belongs to space group P4/mmm (No. 123); the cell edges are 4.8613, 4.8613 and 3.8847 Å and the angles 90.00°, 90.00° and 90.00°. The distinct sites, in fractional coordinates, are La at (0.0000, 0.0000, 0.0000), W at (0.5000, 0.5000, 0.5000), S at (0.0000, 0.5000, 0.5000) and N at (0.5000, 0.5000, 0.0000).

Its crystal system is tetragonal. The calculation puts the spin magnetization at 0.00 μB per formula unit. Its energy relative to the lowest polymorph listed for this composition is 0 meV/atom. The calculation puts the density of states at the Fermi level at 0.466 states/eV/atom. Its raw formation energy is -0.95 eV/atom.



No. 2
Density functional theory data (GGA-PBE) for a geometry-optimized Na4Ce3PtS8 structure.

The structure belongs to space group C2/m (No. 12); the cell edges are 14.4787, 7.8174 and 8.0201 Å and the angles 90.00°, 122.26° and 90.00°. The distinct sites, in fractional coordinates, are Na at (0.0000, 0.0000, 0.0000), Na at (0.0000, 0.5000, 0.0000), Na at (0.2500, 0.2500, 0.0000), Ce at (0.0000, 0.0000, 0.5000), Ce at (0.2500, 0.2500, 0.5000), Pt at (0.0000, 0.5000, 0.5000), S at (0.0159, 0.2841, 0.3017), S at (0.2142, 0.0000, 0.2309) and S at (0.2325, 0.0000, 0.7307).

Its crystal system is monoclinic. The calculation puts the spin magnetization at 2.02 μB per formula unit. The calculation puts the density of states at the Fermi level at 0.880 states/eV/atom. Its raw formation energy is -1.44 eV/atom.